No. 1
Compound: K2InPtO4
Source: the Alexandria database
Functional: PBE-GGA
Structure: relaxed

Unit cell a=6.272 b=6.272 c=6.896 alpha=90.00 beta=90.00 gamma=90.00
Space group I-4 (No. 82)
Inequivalent atoms, fractional coordinates:
K: 0.000 0.000 0.000 [2 per cell]
K: 0.000 0.500 0.250 [2 per cell]
In: 0.000 0.500 0.750 [2 per cell]
Pt: 0.000 0.000 0.500 [2 per cell]
O: 0.145 0.281 0.554 [8 per cell]

Results
The calculation puts the density of states at the Fermi level at 0.92 states/eV/atom. The volume is 136 Å³/f.u. As for the uncorrected formation energy: -1085 meV/atom. The total energy comes out at -4.94 eV/atom.

=====

No. 2
Compound: ZrAgMo
Source: the Alexandria database
Functional: PBE-GGA
Structure: relaxed

Unit cell a=2.821 b=2.821 c=13.816 alpha=90.00 beta=90.00 gamma=90.00
Space group I4mm (No. 107)
Inequivalent atoms, fractional coordinates:
Zr: 0.000 0.000 0.000 [2 per cell]
Ag: 0.000 0.000 0.674 [2 per cell]
Mo: 0.000 0.000 0.333 [2 per cell]

Results
As for the formation energy: 0.236 eV per atom. The calculation puts the density of states at the Fermi level at 0.98 states/eV/atom. The energy above the most stable polymorph in this dataset is 0.280 eV per atom. The volume is 55 Å³/f.u. The total energy comes out at -7.17 eV/atom.

=====

No. 3
Compound: La4SmAl
Source: the Alexandria database
Functional: PBE-GGA
Structure: relaxed

Unit cell a=3.741 b=3.741 c=14.210 alpha=90.00 beta=90.00 gamma=90.00
Space group P4/mmm (No. 123)
Inequivalent atoms, fractional coordinates:
La: 0.000 0.000 0.134 [2 per cell]
La: 0.500 0.500 0.320 [2 per cell]
Sm: 0.000 0.000 0.500 [1 per cell]
Al: 0.500 0.500 0.000 [1 per cell]

Results
As for the formation energy: -0.098 eV per atom. The calculation puts the density of states at the Fermi level at 1.58 states/eV/atom. The energy above the most stable polymorph in this dataset is 0.000 eV per atom. The volume is 199 Å³/f.u. The total energy comes out at -4.79 eV/atom.

=====

Question: volume of number 2 (ZrAgMo)?
Answer: 55 Å³/f.u.

=====

Question: Which value of volume does entry 1 give?
Answer: 136 Å³/f.u.

=====

What did the second record say?
Compound: ZrAgMo
Source: the Alexandria database
Functional: PBE-GGA
Structure: relaxed

Unit cell a=2.821 b=2.821 c=13.816 alpha=90.00 beta=90.00 gamma=90.00
Space group I4mm (No. 107)
Inequivalent atoms, fractional coordinates:
Zr: 0.000 0.000 0.000 [2 per cell]
Ag: 0.000 0.000 0.674 [2 per cell]
Mo: 0.000 0.000 0.333 [2 per cell]

Results
As for the formation energy: 0.236 eV per atom. The calculation puts the density of states at the Fermi level at 0.98 states/eV/atom. The energy above the most stable polymorph in this dataset is 0.280 eV per atom. The volume is 55 Å³/f.u. The total energy comes out at -7.17 eV/atom.